1.
A plane-wave DFT calculation with GGA-PBE was carried out for LiMgCu5 after structural relaxation.

Results
**Space group**: No. 12

Lattice parameters (Å, degrees): 4.644 4.644 5.146 90.11 90.11 115.76
Element x y z (fractional)
Li: 0.500 0.500 0.500
Mg: 0.000 0.000 0.000
Cu: 0.500 0.000 0.255
Cu: 0.000 0.500 0.255
Cu: 0.000 0.000 0.500
Cu: 0.000 0.500 0.745
Cu: 0.500 0.000 0.745



2.
A plane-wave DFT calculation with GGA-PBE was carried out for SrMgIn2Ag after structural relaxation.

Results
**Space group**: No. 44

Lattice parameters (Å, degrees): 4.419 4.688 7.226 108.93 107.80 90.00
Element x y z (fractional)
Sr: 0.436 0.436 0.873
Mg: 0.193 0.693 0.387
In: 0.703 0.203 0.407
In: 0.047 0.047 0.094
Ag: 0.832 0.832 0.664



| no. | total magnetization (Bohr magnetons per cell) | ΔE_f (eV per atom) |
| --- | --- | --- |
| 1 | 0.00 | 0.062 |
| 2 | 0.00 | -0.313 |